This record from the Alexandria database describes a relaxed Ru2W crystal. The functional is GGA-PBE.

Summary:
V (A^3/atom): 14.67
ΔH_f (0 K) (kJ/mol of formula units): -3.2

Unit cell a=3.8481 b=3.8481 c=23.7782 alpha=90.00 beta=90.00 gamma=90.00
With the nearest neighbours (Å) after each atom.
Space group I4_1/amd (No. 141, origin choice 2)
One atom of each set of equivalent atoms:
Ru: 0.0000 0.2500 0.1241 [8 per cell]  4 W 2.68-2.71, 8 Ru 2.72-2.76
Ru: 0.0000 0.2500 0.2927 [8 per cell]  6 W 2.72-2.85, 6 Ru 2.73-2.80
W: 0.0000 0.2500 0.7957 [8 per cell]  10 Ru 2.68-2.85, 2 W 2.90